No. 1
Entry from Alexandria via LeMat-Bulk: a relaxed structure of Ag2HgI2 (PBE).

Structure (POSCAR):
```
Ag2HgI2
1.0
9.021 0.000 0.000
0.000 9.021 0.000
0.000 0.000 3.835
Ag Hg I
4 2 4
Direct
0.119 0.381 0.000
0.381 0.881 0.000
0.619 0.119 0.000
0.881 0.619 0.000
0.000 0.000 0.500
0.500 0.500 0.500
0.156 0.656 0.500
0.344 0.156 0.500
0.656 0.844 0.500
0.844 0.344 0.500
```

## Properties
- ΔE_f (raw) (eV/atom) = 0.12
- SG = P4/mbm (127)



No. 2
Entry from Alexandria via LeMat-Bulk: a relaxed structure of K2Rb2Sb3 (PBE).

Structure (POSCAR):
```
K2Rb2Sb3
1.0
7.598 -2.750 0.000
7.598 2.750 0.000
-3.952 0.000 7.283
K Rb Sb
2 2 3
Direct
0.160 0.160 0.284
0.840 0.840 0.716
0.116 0.116 0.782
0.884 0.884 0.218
0.429 0.429 0.567
0.500 0.500 0.000
0.571 0.571 0.433
```

## Properties
- ΔE_f (raw) (eV/atom) = -0.35
- SG = C2/m (12)



Sequential energy output: -1.7054; -2.7112 eV/atom
Sequential M_tot output: 0.000; 0.000 μB/atom